1.
The following is a DFT calculation (PBE) of Sm2Si4HgPt3 after structural relaxation.

```
data_Sm2Si4HgPt3
_symmetry_space_group_name_H-M 'P -4 m 2'
_symmetry_Int_Tables_number 115
_symmetry_space_group_name_Hall 'P -4 -2'
_cell_length_a 4.2855
_cell_length_b 4.2855
_cell_length_c 10.0521
_cell_angle_alpha 90.00
_cell_angle_beta 90.00
_cell_angle_gamma 90.00
loop_
_atom_site_label
_atom_site_fract_x
_atom_site_fract_y
_atom_site_fract_z
_atom_site_occupancy
Sm1 0.0000 0.5000 0.2416 1
Si1 0.0000 0.0000 0.0000 1
Si2 0.0000 0.5000 0.6473 1
Si3 0.5000 0.5000 0.0000 1
Hg1 0.0000 0.0000 0.5000 1
Pt1 0.0000 0.5000 0.8845 1
Pt2 0.5000 0.5000 0.5000 1
```

Output
The raw total energy is -5.8412 eV per atom. As for the total magnetic moment: 0.000 μB per atom. The energy relative to the elements, uncorrected comes out at -0.8857 eV per atom.

***

2.
The following is a DFT calculation (PBE) of Sr2Si3HgPt12 after structural relaxation.

```
data_Sr2Si3HgPt12
_symmetry_space_group_name_H-M 'R -3 m'
_symmetry_Int_Tables_number 166
_symmetry_space_group_name_Hall '-R 3 2"'
_cell_length_a 8.3384
_cell_length_b 8.3384
_cell_length_c 18.4636
_cell_angle_alpha 90.00
_cell_angle_beta 90.00
_cell_angle_gamma 120.00
loop_
_atom_site_label
_atom_site_fract_x
_atom_site_fract_y
_atom_site_fract_z
_atom_site_occupancy
Sr1 0.0000 0.0000 0.1055 1
Si1 0.0000 0.5000 0.0000 1
Hg1 0.0000 0.0000 0.5000 1
Pt1 0.0159 0.5080 0.8748 1
Pt2 0.0366 0.5183 0.3667 1
```

Output
The raw total energy is -5.4517 eV per atom. As for the total magnetic moment: 0.000 μB per atom. The energy relative to the elements, uncorrected comes out at -0.3170 eV per atom.

***

3.
The following is a DFT calculation (PBE) of VSiHgPt2 after structural relaxation.

```
data_VSiHgPt2
_symmetry_space_group_name_H-M 'P 4/m m m'
_symmetry_Int_Tables_number 123
_symmetry_space_group_name_Hall '-P 4 2'
_cell_length_a 5.0138
_cell_length_b 5.0138
_cell_length_c 4.7796
_cell_angle_alpha 90.00
_cell_angle_beta 90.00
_cell_angle_gamma 90.00
loop_
_atom_site_label
_atom_site_fract_x
_atom_site_fract_y
_atom_site_fract_z
_atom_site_occupancy
V1 0.0000 0.0000 0.0000 1
Si1 0.5000 0.5000 0.0000 1
Hg1 0.0000 0.0000 0.5000 1
Pt1 0.0000 0.5000 0.5000 1
```

Output
The raw total energy is -3.6834 eV per atom. As for the total magnetic moment: 0.001 μB per atom. The energy relative to the elements, uncorrected comes out at 1.7016 eV per atom.

***

Question: Look up the energy relative to the elements, uncorrected of the third one.
Answer: 1.7016 eV per atom